Record 1
The following is a DFT calculation (PBE) of a relaxed structure of Zr4ZnSiN2.

Cell and atoms, written as CIF:
```
data_Zr4ZnSiN2
_cell_length_a 3.2817
_cell_length_b 3.2817
_cell_length_c 13.7071
_cell_angle_alpha 90.00
_cell_angle_beta 90.00
_cell_angle_gamma 120.00
_space_group_name_H-M_alt 'P -6 m 2'
_space_group_IT_number 187
_space_group_name_Hall 'P -6 2'
loop_
_atom_site_label
_atom_site_type_symbol
_atom_site_fract_x
_atom_site_fract_y
_atom_site_fract_z
Zr1 Zr 0.0000 0.0000 0.1518
Zr2 Zr 0.6667 0.3333 0.3362
Zn1 Zn 0.0000 0.0000 0.5000
Si1 Si 0.6667 0.3333 0.0000
N1 N 0.3333 0.6667 0.2467
```

***

Record 2
The following is a DFT calculation (PBE) of a relaxed structure of Zr2SiN.

Cell and atoms, written as CIF:
```
data_Zr2SiN
_cell_length_a 9.792
_cell_length_b 5.657
_cell_length_c 13.871
_cell_angle_alpha 90.00
_cell_angle_beta 103.58
_cell_angle_gamma 90.00
_space_group_name_H-M_alt 'C 1 2/c 1'
_space_group_IT_number 15
loop_
_space_group_symop_operation_xyz
'x,y,z'
'-x,-y,-z'
'-x,y,-z+1/2'
'x,-y,z+1/2'
'x+1/2,y+1/2,z'
'-x+1/2,-y+1/2,-z'
'-x+1/2,y+1/2,-z+1/2'
'x+1/2,-y+1/2,z+1/2'
loop_
_atom_site_label
_atom_site_type_symbol
_atom_site_fract_x
_atom_site_fract_y
_atom_site_fract_z
Zr1 Zr 0.052 0.083 0.404
Zr2 Zr 0.115 0.417 0.596
Zr3 Zr 0.218 0.417 0.904
Si1 Si 0.000 0.418 0.250
Si2 Si 0.165 0.085 0.750
N1 N 0.083 0.250 0.000
N2 N 0.250 0.250 0.500
```

***

Record 3
The following is a DFT calculation (PBE) of a relaxed structure of Zr3SiN2.

Cell and atoms, written as CIF:
```
data_Zr3SiN2
_cell_length_a 3.2329
_cell_length_b 3.2329
_cell_length_c 19.0439
_cell_angle_alpha 90.00
_cell_angle_beta 90.00
_cell_angle_gamma 120.00
_space_group_name_H-M_alt 'P 63/m m c'
_space_group_IT_number 194
_space_group_name_Hall '-P 6c 2c'
loop_
_atom_site_label
_atom_site_type_symbol
_atom_site_fract_x
_atom_site_fract_y
_atom_site_fract_z
Zr1 Zr 0.0000 0.0000 0.0000
Zr2 Zr 0.3333 0.6667 0.1401
Si1 Si 0.0000 0.0000 0.2500
N1 N 0.3333 0.6667 0.5697
```

***

Taking the records one at a time from the top gives VASP energy values of -8.23, -8.84, -9.27 eV per atom.
Taking the records one at a time from the top gives magnetization values of 0.00, 0.00, 0.01 μB/cell.